# 1
A plane-wave DFT calculation with PBE was carried out for a relaxed structure of Li8Ag2Pt3.

Cell and atoms, written as CIF:
```
data_Li8Ag2Pt3
_cell_length_a 9.688
_cell_length_b 9.688
_cell_length_c 9.688
_cell_angle_alpha 29.39
_cell_angle_beta 29.39
_cell_angle_gamma 29.39
_symmetry_space_group_name_H-M 'P 1'
_symmetry_Int_Tables_number 1
loop_
_symmetry_equiv_pos_as_xyz
'x,y,z'
loop_
_atom_site_label
_atom_site_fract_x
_atom_site_fract_y
_atom_site_fract_z
Li1 0.222 0.222 0.222
Li2 0.223 0.223 0.720
Li3 0.223 0.720 0.223
Li4 0.280 0.777 0.777
Li5 0.720 0.223 0.223
Li6 0.777 0.280 0.777
Li7 0.777 0.777 0.280
Li8 0.778 0.778 0.778
Ag1 0.136 0.136 0.136
Ag2 0.864 0.864 0.864
Pt1 0.313 0.313 0.313
Pt2 0.500 0.500 0.500
Pt3 0.687 0.687 0.687
```

Results
Electronic total energy: -42.2 eV/cell



# 2
A plane-wave DFT calculation with PBE was carried out for a relaxed structure of Ba3AgSn.

Cell and atoms, written as CIF:
```
data_Ba3AgSn
_cell_length_a 6.243
_cell_length_b 6.243
_cell_length_c 6.243
_cell_angle_alpha 90.00
_cell_angle_beta 90.00
_cell_angle_gamma 90.00
_symmetry_space_group_name_H-M 'P 1'
_symmetry_Int_Tables_number 1
loop_
_symmetry_equiv_pos_as_xyz
'x,y,z'
loop_
_atom_site_label
_atom_site_fract_x
_atom_site_fract_y
_atom_site_fract_z
Ba1 0.000 0.000 0.500
Ba2 0.000 0.500 0.000
Ba3 0.500 0.000 0.000
Ag1 0.000 0.000 0.000
Sn1 0.500 0.500 0.500
```

Results
E above lowest polymorph: 337.7 meV per atom



# 3
A plane-wave DFT calculation with PBE was carried out for a relaxed structure of Ca3InPt8.

Cell and atoms, written as CIF:
```
data_Ca3InPt8
_cell_length_a 9.382
_cell_length_b 9.382
_cell_length_c 9.382
_cell_angle_alpha 33.74
_cell_angle_beta 33.74
_cell_angle_gamma 33.74
_symmetry_space_group_name_H-M 'P 1'
_symmetry_Int_Tables_number 1
loop_
_symmetry_equiv_pos_as_xyz
'x,y,z'
loop_
_atom_site_label
_atom_site_fract_x
_atom_site_fract_y
_atom_site_fract_z
Ca1 0.000 0.000 0.000
Ca2 0.127 0.127 0.127
Ca3 0.622 0.622 0.622
In1 0.500 0.500 0.500
Pt1 0.062 0.062 0.562
Pt2 0.062 0.562 0.062
Pt3 0.064 0.562 0.562
Pt4 0.312 0.312 0.312
Pt5 0.562 0.062 0.062
Pt6 0.562 0.064 0.562
Pt7 0.562 0.562 0.064
Pt8 0.813 0.813 0.813
```

Results
Electronic total energy: -66.9 eV/cell



Spin magnetization across the listed records, respectively: 0.00, 0.00, 0.00 μB per atom.